Arrangement a

## BaPrAu (PBE)

Data for a relaxed BaPrAu crystal.

abc: 3.946 3.946 7.546
angles: 105.16 105.16 90.00
Element x y z (fractional)
Pr  0.286  0.286  0.573
Au  0.689  0.689  0.377
Ba  0.025  0.025  0.050

---

Arrangement b

## BaPrAu (PBE)

Data for a relaxed BaPrAu crystal.

abc: 4.867 5.113 5.113
angles: 120.00 90.00 90.00
Element x y z (fractional)
Pr  0.128  0.000  0.000
Au  0.227  0.333  0.667
Ba  0.645  0.667  0.333

---

Arrangement c

## BaPrAu (PBE)

Data for a relaxed BaPrAu crystal.

abc: 5.316 5.316 7.813
angles: 90.00 90.00 90.00
Element x y z (fractional)
Ba  0.000  0.500  0.881
Ba  0.500  0.000  0.119
Pr  0.500  0.500  0.500
Pr  0.000  0.000  0.500
Au  0.000  0.500  0.309
Au  0.500  0.000  0.691

---

Going by the energies, arrangement c is most stable and the next is 0.062 eV/atom up.

---

Arrangement a

## Ba2Pt2Au (PBE)

Data for a relaxed Ba2Pt2Au crystal.

abc: 3.952 3.952 9.638
angles: 78.17 78.17 90.00
Element x y z (fractional)
Au  0.000  0.000  0.000
Ba  0.385  0.385  0.231
Ba  0.615  0.615  0.769
Pt  0.750  0.250  0.500
Pt  0.250  0.750  0.500

---

Arrangement b

## Ba2Pt2Au (PBE)

Data for a relaxed Ba2Pt2Au crystal.

abc: 8.776 8.776 4.231
angles: 90.00 90.00 90.00
Each line ends with the local moment (μB).
Element x y z (fractional)
Au  0.000  0.000  0.000  0.03
Au  0.500  0.500  0.000  0.03
Ba  0.323  0.823  0.000  0.03
Ba  0.823  0.677  0.000  0.03
Ba  0.677  0.177  0.000  0.03
Ba  0.177  0.323  0.000  0.03
Pt  0.104  0.604  0.500  0.27
Pt  0.604  0.896  0.500  0.27
Pt  0.896  0.396  0.500  0.27
Pt  0.396  0.104  0.500  0.27

---

Arrangement c

## Ba2Pt2Au (PBE)

Data for a relaxed Ba2Pt2Au crystal.

abc: 4.902 6.101 6.101
angles: 56.35 66.23 66.23
Element x y z (fractional)
Ba  0.306  0.194  0.694
Ba  0.694  0.806  0.306
Pt  0.000  0.245  0.255
Pt  0.000  0.755  0.745
Au  0.500  0.500  0.000

---

Going by the energies, arrangement c is most stable and the next is 0.180 eV/atom up.

---

Arrangement a

## Ba2Pt2Au (PBE)

Data for a relaxed Ba2Pt2Au crystal.

abc: 7.888 7.888 4.484
angles: 90.00 90.00 90.00
Element x y z (fractional)
Au  0.000  0.000  0.000
Au  0.500  0.500  0.000
Ba  0.179  0.679  0.500
Ba  0.679  0.821  0.500
Ba  0.821  0.321  0.500
Ba  0.321  0.179  0.500
Pt  0.379  0.879  0.000
Pt  0.879  0.621  0.000
Pt  0.621  0.121  0.000
Pt  0.121  0.379  0.000

---

Arrangement b

## Ba2Pt2Au (PBE)

Data for a relaxed Ba2Pt2Au crystal.

abc: 5.927 5.927 8.973
angles: 78.37 78.37 61.52
Element x y z (fractional)
Ba  0.492  0.208  0.153
Ba  0.792  0.508  0.347
Ba  0.508  0.792  0.847
Ba  0.208  0.492  0.653
Pt  0.729  0.003  0.506
Pt  0.997  0.271  0.994
Pt  0.271  0.997  0.494
Pt  0.003  0.729  0.006
Au  0.143  0.857  0.250
Au  0.857  0.143  0.750

---

Going by the energies, arrangement b is most stable and the next is 0.126 eV/atom up.

---

Arrangement a

## BaPtAu2 (PBE)

Data for a relaxed BaPtAu2 crystal.

abc: 3.326 3.960 7.052
angles: 90.00 90.00 90.00
Element x y z (fractional)
Au  0.000  0.000  0.944
Au  0.000  0.000  0.556
Ba  0.500  0.500  0.250
Pt  0.500  0.500  0.750

---

Arrangement b

## BaPtAu2 (PBE)

Data for a relaxed BaPtAu2 crystal.

abc: 5.637 5.637 5.637
angles: 133.53 133.53 67.82
Element x y z (fractional)
Au  0.000  0.000  0.000
Au  0.250  0.750  0.500
Ba  0.500  0.500  0.000
Pt  0.750  0.250  0.500

---

Arrangement c

## BaPtAu2 (PBE)

Data for a relaxed BaPtAu2 crystal.

abc: 4.757 4.757 6.071
angles: 67.20 67.20 59.91
Element x y z (fractional)
Au  0.992  0.992  0.024
Au  0.695  0.695  0.915
Ba  0.503  0.503  0.494
Pt  0.311  0.311  0.067

---

Arrangement d

## BaPtAu2 (PBE)

Data for a relaxed BaPtAu2 crystal.

abc: 5.816 5.816 5.816
angles: 141.03 126.64 68.02
Element x y z (fractional)
Au  0.957  0.957  0.000
Au  0.543  0.543  0.000
Ba  0.250  0.750  0.500
Pt  0.750  0.250  0.500

---

Going by the energies, arrangement c is most stable and the next is 0.240 eV/atom up.

---

Arrangement a

## BaPtAu2 (PBE)

Data for a relaxed BaPtAu2 crystal.

abc: 4.566 4.566 4.436
angles: 90.00 90.00 88.35
Element x y z (fractional)
Au  0.000  0.000  0.000
Au  0.500  0.500  0.000
Ba  0.500  0.000  0.500
Pt  0.000  0.500  0.500

---

Arrangement b

## BaPtAu2 (PBE)

Data for a relaxed BaPtAu2 crystal.

abc: 5.138 5.138 5.138
angles: 60.00 60.00 60.00
Element x y z (fractional)
Au  0.250  0.250  0.250
Au  0.750  0.750  0.750
Ba  0.000  0.000  0.000
Pt  0.500  0.500  0.500

---

Arrangement c

## BaPtAu2 (PBE)

Data for a relaxed BaPtAu2 crystal.

abc: 5.144 5.144 10.072
angles: 75.20 75.20 90.00
Element x y z (fractional)
Au  0.875  0.125  0.250
Au  0.875  0.625  0.250
Au  0.375  0.125  0.750
Au  0.875  0.125  0.750
Ba  0.500  0.500  0.000
Ba  0.250  0.750  0.500
Pt  0.000  0.000  0.000
Pt  0.750  0.250  0.500

---

Arrangement d

## BaPtAu2 (PBE)

Data for a relaxed BaPtAu2 crystal.

abc: 5.135 5.135 5.135
angles: 60.00 60.00 60.00
Element x y z (fractional)
Au  0.000  0.000  0.000
Au  0.250  0.250  0.250
Ba  0.500  0.500  0.500
Pt  0.750  0.750  0.750

---

Going by the energies, arrangement c is most stable and the next is 0.257 eV/atom up.

---

Arrangement a

## BaPtAu2 (PBE)

Data for a relaxed BaPtAu2 crystal.

abc: 4.651 4.499 5.431
angles: 89.99 90.00 90.00
Element x y z (fractional)
Au  0.000  0.000  0.987
Au  0.500  0.000  0.256
Ba  0.000  0.500  0.518
Pt  0.500  0.000  0.740

---

Arrangement b

## BaPtAu2 (PBE)

Data for a relaxed BaPtAu2 crystal.

abc: 6.051 4.347 4.348
angles: 89.33 69.20 110.79
Element x y z (fractional)
Au  0.000  0.000  0.000
Au  0.000  0.500  0.500
Ba  0.500  0.500  0.000
Pt  0.500  0.000  0.500

---

Arrangement c

## BaPtAu2 (PBE)

Data for a relaxed BaPtAu2 crystal.

abc: 4.726 4.726 6.072
angles: 67.27 67.27 59.95
Element x y z (fractional)
Au  0.947  0.947  0.158
Au  0.553  0.553  0.342
Ba  0.750  0.750  0.750
Pt  0.250  0.250  0.250

---

Arrangement d

## BaPtAu2 (PBE)

Data for a relaxed BaPtAu2 crystal.

abc: 4.728 4.451 5.355
angles: 90.24 90.00 90.00
Element x y z (fractional)
Au  0.000  0.749  0.002
Au  0.000  0.751  0.498
Ba  0.500  0.250  0.250
Pt  0.500  0.750  0.750

---

Going by the energies, arrangement c is most stable and the next is 0.034 eV/atom up.

---

Arrangement a

## Ba8PtAu2 (PBE)

Data for a relaxed Ba8PtAu2 crystal.

abc: 5.665 7.813 11.351
angles: 99.61 104.45 90.00
Element x y z (fractional)
Ba  0.419  0.615  0.839
Ba  0.664  0.958  0.327
Ba  0.787  0.661  0.573
Ba  0.954  0.186  0.907
Ba  0.213  0.339  0.427
Ba  0.336  0.042  0.673
Ba  0.581  0.385  0.161
Ba  0.046  0.814  0.093
Pt  0.500  0.000  0.000
Au  0.797  0.245  0.594
Au  0.203  0.755  0.406

---

Arrangement b

## Ba8PtAu2 (PBE)

Data for a relaxed Ba8PtAu2 crystal.

abc: 7.906 8.753 8.753
angles: 71.77 75.17 75.17
Element x y z (fractional)
Ba  0.248  0.651  0.061
Ba  0.752  0.939  0.349
Ba  0.250  0.133  0.133
Ba  0.750  0.867  0.867
Ba  0.248  0.061  0.651
Ba  0.752  0.349  0.939
Ba  0.766  0.422  0.422
Ba  0.234  0.578  0.578
Pt  0.000  0.000  0.000
Au  0.453  0.313  0.313
Au  0.547  0.687  0.687

---

Going by the energies, arrangement b is most stable and the next is 0.081 eV/atom up.

---

Arrangement a

## Ba4PtAu (PBE)

Data for a relaxed Ba4PtAu crystal.

abc: 8.057 8.105 10.383
angles: 105.80 105.62 107.71
Element x y z (fractional)
Ba  0.306  0.052  0.632
Ba  0.053  0.815  0.105
Ba  0.174  0.420  0.368
Ba  0.448  0.710  0.895
Ba  0.694  0.948  0.368
Ba  0.826  0.580  0.632
Ba  0.947  0.185  0.895
Ba  0.552  0.290  0.105
Pt  0.820  0.070  0.139
Pt  0.180  0.930  0.861
Au  0.322  0.572  0.144
Au  0.678  0.428  0.856

---

Arrangement b

## Ba4PtAu (PBE)

Data for a relaxed Ba4PtAu crystal.

abc: 7.879 7.879 9.632
angles: 66.20 65.86 90.00
Element x y z (fractional)
Ba  0.371  0.872  0.258
Ba  0.629  0.628  0.742
Ba  0.629  0.128  0.742
Ba  0.371  0.372  0.258
Ba  0.870  0.872  0.258
Ba  0.129  0.628  0.742
Ba  0.130  0.128  0.742
Ba  0.871  0.372  0.258
Pt  0.000  0.000  0.500
Pt  0.500  0.500  0.500
Au  0.250  0.750  0.000
Au  0.750  0.250  0.000

---

Going by the energies, arrangement a is most stable and the next is 0.027 eV/atom up.

---

Arrangement a

## Ba2PtAu2 (PBE)

Data for a relaxed Ba2PtAu2 crystal.

abc: 8.070 8.070 4.512
angles: 90.00 90.00 90.00
Element x y z (fractional)
Au  0.374  0.874  0.000
Au  0.874  0.626  0.000
Au  0.626  0.126  0.000
Au  0.126  0.374  0.000
Ba  0.181  0.681  0.500
Ba  0.681  0.819  0.500
Ba  0.819  0.319  0.500
Ba  0.319  0.181  0.500
Pt  0.000  0.000  0.000
Pt  0.500  0.500  0.000

---

Arrangement b

## Ba2PtAu2 (PBE)

Data for a relaxed Ba2PtAu2 crystal.

abc: 4.607 6.439 11.389
angles: 84.78 78.33 69.04
Element x y z (fractional)
Ba  0.696  0.241  0.367
Ba  0.915  0.283  0.887
Ba  0.304  0.759  0.633
Ba  0.085  0.717  0.113
Pt  0.573  0.161  0.692
Pt  0.427  0.839  0.308
Au  0.039  0.334  0.589
Au  0.634  0.852  0.881
Au  0.961  0.666  0.411
Au  0.366  0.148  0.119

---

Going by the energies, arrangement b is most stable and the next is 0.176 eV/atom up.